# LiErSe2

An optimized crystal structure of LiErSe2 (GGA-PBEsol, Alexandria via LeMat-Bulk).

The structure in POSCAR format:
```
LiErSe2
1.0
3.989 0.000 0.000
0.000 3.989 0.000
0.000 0.000 5.469
Li Er Se
1 1 2
Cartesian
0.000 0.000 0.000
1.994 1.994 2.734
0.000 0.000 2.734
1.994 1.994 0.000
```

Calculated volume, A^3/atom: 21.75
Formation energy from raw total energies, eV/atom: -1.62
Total moment, μB/atom: 0.000

=====

# LiErSe2

An optimized crystal structure of LiErSe2 (GGA-PBEsol, Alexandria via LeMat-Bulk).

The structure in POSCAR format:
```
LiErSe2
1.0
1.988 1.148 6.370
-1.988 1.148 6.370
0.000 -2.296 6.370
Li Er Se
1 1 2
Cartesian
0.000 0.000 0.000
0.000 0.000 9.556
0.000 0.000 4.800
0.000 0.000 14.311
```

Calculated volume, A^3/atom: 21.81
Formation energy from raw total energies, eV/atom: -1.71
Total moment, μB/atom: 0.000

=====

# LiEr2Tl

An optimized crystal structure of LiEr2Tl (GGA-PBEsol, Alexandria via LeMat-Bulk).

The structure in POSCAR format:
```
LiEr2Tl
1.0
0.000 3.645 3.645
3.645 0.000 3.645
3.645 3.645 0.000
Li Er Tl
1 2 1
Cartesian
0.000 0.000 0.000
1.823 1.823 1.823
5.468 5.468 5.468
3.645 3.645 3.645
```

Calculated volume, A^3/atom: 24.22
Energy of formation, meV per atom: -216
Total moment, μB/atom: 0.000

=====

# Li2ErTl

An optimized crystal structure of Li2ErTl (GGA-PBEsol, Alexandria via LeMat-Bulk).

The structure in POSCAR format:
```
Li2ErTl
1.0
0.000 3.353 3.353
3.353 0.000 3.353
3.353 3.353 0.000
Li Er Tl
2 1 1
Cartesian
1.677 1.677 1.677
5.030 5.030 5.030
0.000 0.000 0.000
3.353 3.353 3.353
```

Calculated volume, A^3/atom: 18.85
Energy of formation, meV per atom: -254
Total moment, μB/atom: 0.000

=====

# ErLu3

An optimized crystal structure of ErLu3 (GGA-PBEsol, Alexandria via LeMat-Bulk).

The structure in POSCAR format:
```
ErLu3
1.0
6.936 0.000 0.000
-3.468 6.007 0.000
0.000 0.000 5.383
Er Lu
2 6
Cartesian
0.000 4.005 1.346
3.468 2.002 4.037
0.000 1.998 4.037
-1.738 5.008 4.037
1.730 0.999 1.346
1.738 5.008 4.037
5.206 0.999 1.346
3.468 4.009 1.346
```

Calculated volume, A^3/atom: 28.04
Energy of formation, meV per atom: 1
Total moment, μB/atom: 0.000

=====

# Er3Lu

An optimized crystal structure of Er3Lu (GGA-PBEsol, Alexandria via LeMat-Bulk).

The structure in POSCAR format:
```
Er3Lu
1.0
6.986 0.000 0.000
-3.493 6.050 0.000
0.000 0.000 5.427
Er Lu
6 2
Cartesian
0.000 2.020 1.357
-1.743 5.040 1.357
1.750 1.010 4.071
1.743 5.040 1.357
5.236 1.010 4.071
3.493 4.030 4.071
0.000 4.033 4.071
3.493 2.017 1.357
```

Calculated volume, A^3/atom: 28.67
Energy of formation, meV per atom: 3
Total moment, μB/atom: 0.000